[1]
This record from Alexandria via LeMat-Bulk describes a geometry-optimized Ta3WSe structure. The functional is PBE.

Unit cell a=4.651 b=4.651 c=4.651 alpha=90.00 beta=90.00 gamma=90.00
Atoms (fractional coordinates):
Se (0.000, 0.000, 0.000)
W (0.500, 0.500, 0.500)
Ta (0.000, 0.500, 0.000)
Ta (0.000, 0.000, 0.500)
Ta (0.500, 0.000, 0.000)

The space group is No. 221. The calculation puts the size of the total moment at 0.000 μB/atom. As for the raw formation energy: 1.205 eV per atom.

***

[2]
This record from Alexandria via LeMat-Bulk describes a geometry-optimized Ta2WSe structure. The functional is PBE.

Unit cell a=4.830 b=4.830 c=4.830 alpha=126.82 beta=126.82 gamma=78.54
Atoms (fractional coordinates):
Se (0.750, 0.250, 0.500)
Ta (0.000, 0.000, 0.000)
Ta (0.500, 0.500, 0.000)
W (0.250, 0.750, 0.500)

The space group is No. 139. The calculation puts the size of the total moment at 0.000 μB/atom. As for the raw formation energy: 0.337 eV per atom.

***

[3]
This record from Alexandria via LeMat-Bulk describes a geometry-optimized TaWSe4 structure. The functional is PBE.

Unit cell a=6.161 b=6.161 c=9.467 alpha=101.73 beta=101.73 gamma=112.04
Atoms (fractional coordinates):
Ta (0.327, 0.577, 0.155)
Ta (0.673, 0.423, 0.845)
W (0.823, 0.073, 0.146)
W (0.177, 0.927, 0.854)
Se (0.319, 0.073, 0.648)
Se (0.040, 0.795, 0.082)
Se (0.171, 0.425, 0.352)
Se (0.458, 0.713, 0.918)
Se (0.681, 0.927, 0.352)
Se (0.829, 0.575, 0.648)
Se (0.960, 0.205, 0.918)
Se (0.542, 0.287, 0.082)

The space group is No. 15. The calculation puts the size of the total moment at 0.167 μB/atom. As for the raw formation energy: -0.263 eV per atom.

***

[4]
This record from Alexandria via LeMat-Bulk describes a geometry-optimized TaW2Se structure. The functional is PBE.

Unit cell a=4.626 b=4.626 c=4.626 alpha=122.15 beta=122.15 gamma=86.32
Atoms (fractional coordinates):
Se (0.500, 0.500, 0.000)
Ta (0.750, 0.250, 0.500)
W (0.000, 0.000, 0.000)
W (0.250, 0.750, 0.500)

The space group is No. 119. The calculation puts the size of the total moment at 0.000 μB/atom. As for the raw formation energy: 0.556 eV per atom.

***

[5]
This record from Alexandria via LeMat-Bulk describes a geometry-optimized TaWSe structure. The functional is PBE.

Unit cell a=6.898 b=6.655 c=2.990 alpha=81.83 beta=72.76 gamma=25.41
Atoms (fractional coordinates):
Se (0.997, 0.997, 0.003)
Ta (0.331, 0.331, 0.669)
W (0.673, 0.673, 0.327)

The space group is No. 42. The calculation puts the size of the total moment at 0.000 μB/atom. As for the raw formation energy: 0.359 eV per atom.

***

[6]
This record from Alexandria via LeMat-Bulk describes a geometry-optimized TaW4Se8 structure. The functional is PBE.

Unit cell a=6.624 b=6.624 c=8.146 alpha=90.00 beta=113.99 gamma=120.00
Atoms (fractional coordinates):
Ta (0.000, 0.500, 0.500)
W (0.000, 0.000, 0.000)
W (0.000, 0.500, 0.000)
W (0.500, 0.500, 0.000)
W (0.500, 0.000, 0.000)
Se (0.493, 0.746, 0.239)
Se (0.507, 0.254, 0.761)
Se (0.499, 0.249, 0.245)
Se (0.005, 0.254, 0.755)
Se (0.501, 0.751, 0.755)
Se (0.005, 0.751, 0.755)
Se (0.995, 0.249, 0.245)
Se (0.995, 0.746, 0.245)

The space group is No. 166. The calculation puts the size of the total moment at 0.209 μB/atom. As for the raw formation energy: -0.001 eV per atom.

***

[7]
This record from Alexandria via LeMat-Bulk describes a geometry-optimized TaWSe structure. The functional is PBE.

Unit cell a=4.793 b=4.793 c=4.793 alpha=143.59 beta=126.22 gamma=66.69
Atoms (fractional coordinates):
Se (0.999, 0.999, 0.000)
Ta (0.329, 0.329, 0.000)
W (0.672, 0.672, 0.000)

The space group is No. 44. The calculation puts the size of the total moment at 0.000 μB/atom. As for the raw formation energy: 0.449 eV per atom.

***

[8]
This record from Alexandria via LeMat-Bulk describes a geometry-optimized TaW2Se structure. The functional is PBE.

Unit cell a=9.189 b=9.189 c=9.189 alpha=18.43 beta=18.43 gamma=18.43
Atoms (fractional coordinates):
Se (0.250, 0.250, 0.250)
Ta (0.750, 0.750, 0.750)
W (0.994, 0.994, 0.994)
W (0.506, 0.506, 0.506)

The space group is No. 166. The calculation puts the size of the total moment at 0.000 μB/atom. As for the raw formation energy: 0.461 eV per atom.

***

[9]
This record from Alexandria via LeMat-Bulk describes a geometry-optimized TaW2Se structure. The functional is PBE.

Unit cell a=3.764 b=3.764 c=10.440 alpha=79.61 beta=79.61 gamma=90.00
Atoms (fractional coordinates):
Se (0.500, 0.500, 0.000)
Se (0.250, 0.750, 0.500)
W (0.626, 0.125, 0.250)
W (0.124, 0.625, 0.250)
W (0.375, 0.374, 0.750)
W (0.875, 0.876, 0.750)
Ta (0.000, 0.000, 0.000)
Ta (0.750, 0.250, 0.500)

The space group is No. 122. The calculation puts the size of the total moment at 0.000 μB/atom. As for the raw formation energy: 0.752 eV per atom.

***

[10]
This record from Alexandria via LeMat-Bulk describes a geometry-optimized TaW2Se structure. The functional is PBE.

Unit cell a=2.903 b=2.903 c=8.889 alpha=90.00 beta=90.00 gamma=112.28
Atoms (fractional coordinates):
Se (0.000, 0.000, 0.511)
Ta (0.500, 0.500, 0.750)
W (0.000, 0.000, 0.003)
W (0.500, 0.500, 0.236)

The space group is No. 35. The calculation puts the size of the total moment at 0.000 μB/atom. As for the raw formation energy: 0.303 eV per atom.

***

[11]
This record from Alexandria via LeMat-Bulk describes a geometry-optimized TaWSe4 structure. The functional is PBE.

Unit cell a=3.394 b=7.263 c=5.865 alpha=97.78 beta=90.00 gamma=103.53
Atoms (fractional coordinates):
Ta (0.500, 0.000, 0.500)
W (0.000, 0.000, 0.000)
Se (0.878, 0.756, 0.628)
Se (0.122, 0.244, 0.372)
Se (0.379, 0.759, 0.122)
Se (0.620, 0.240, 0.878)

The space group is No. 12. The calculation puts the size of the total moment at 0.000 μB/atom. As for the raw formation energy: -0.553 eV per atom.

***

[12]
This record from Alexandria via LeMat-Bulk describes a geometry-optimized TaWSe6 structure. The functional is PBE.

Unit cell a=6.452 b=6.541 c=7.162 alpha=56.84 beta=56.32 gamma=56.94
Atoms (fractional coordinates):
Ta (0.500, 0.500, 0.500)
W (0.000, 0.000, 0.000)
Se (0.058, 0.436, 0.753)
Se (0.651, 0.146, 0.854)
Se (0.648, 0.149, 0.347)
Se (0.349, 0.854, 0.146)
Se (0.942, 0.564, 0.247)
Se (0.352, 0.851, 0.653)

The space group is No. 2. The calculation puts the size of the total moment at 0.000 μB/atom. As for the raw formation energy: -0.226 eV per atom.